VASP calculation (PBE) on a relaxed HfAlTc crystal.

Unit cell a=5.261 b=5.281 c=7.293 alpha=90.00 beta=90.00 gamma=90.00
Space group Imma (No. 74)
Unique sites:
Hf: 0.000 0.250 0.118 (multiplicity 4)
Al: 0.000 0.000 0.500 (multiplicity 4)
Tc: 0.250 0.250 0.750 (multiplicity 4)

## Properties
* DFT total energy: -8.525 eV per atom
* formation energy: -11.63 kcal/mol of atoms
* energy above the most stable polymorph in this dataset: 0.0000 eV/atom
* crystal system: orthorhombic

=====

VASP calculation (PBE) on a relaxed KAsIr4 crystal.

Unit cell a=7.542 b=7.542 c=7.542 alpha=90.00 beta=90.00 gamma=90.00
Space group F-43m (No. 216)
Unique sites:
K: 0.000 0.000 0.000 (multiplicity 4)
As: 0.250 0.250 0.750 (multiplicity 4)
Ir: 0.125 0.125 0.375 (multiplicity 16)

## Properties
* DFT total energy: -6.242 eV per atom
* formation energy: 14.36 kcal/mol of atoms
* crystal system: cubic

=====

VASP calculation (PBE) on a relaxed YSnIr2 crystal.

Unit cell a=4.531 b=4.531 c=18.316 alpha=90.00 beta=90.00 gamma=90.00
Space group I-42d (No. 122)
Unique sites:
Y: 0.000 0.000 0.000 (multiplicity 4)
Sn: 0.000 0.000 0.500 (multiplicity 4)
Ir: 0.127 0.250 0.625 (multiplicity 8)

## Properties
* DFT total energy: -7.034 eV per atom
* formation energy: 0.30 kcal/mol of atoms
* crystal system: tetragonal

=====

VASP calculation (PBE) on a relaxed KIO3 crystal.

Unit cell a=9.272 b=4.603 c=13.149 alpha=90.00 beta=125.47 gamma=90.00
Space group P2_1/c (No. 14)
Unique sites:
K: 0.232 0.222 0.317 (multiplicity 4)
I: 0.213 0.690 0.541 (multiplicity 4)
O: 0.120 0.723 0.374 (multiplicity 4)
O: 0.166 0.194 0.051 (multiplicity 4)
O: 0.446 0.678 0.606 (multiplicity 4)

## Properties
* DFT total energy: -4.396 eV per atom
* formation energy without anion corrections: -892 meV per atom
* crystal system: monoclinic

=====

VASP calculation (PBE) on a relaxed CdHg2Os crystal.

Unit cell a=4.153 b=4.153 c=19.829 alpha=90.00 beta=90.00 gamma=90.00
Space group I-42d (No. 122)
Unique sites:
Cd: 0.000 0.000 0.000 (multiplicity 4)
Hg: 0.233 0.250 0.625 (multiplicity 8)
Os: 0.000 0.000 0.500 (multiplicity 4)

## Properties
* DFT total energy: -2.331 eV per atom
* formation energy: 19.75 kcal/mol of atoms
* crystal system: tetragonal

=====

VASP calculation (PBE) on a relaxed Ca3HgAu crystal.

Unit cell a=7.970 b=4.571 c=16.627 alpha=90.00 beta=90.00 gamma=90.00
Space group Pnma (No. 62)
Unique sites:
Ca: 0.009 0.250 0.102 (multiplicity 4)
Ca: 0.132 0.750 0.445 (multiplicity 4)
Ca: 0.177 0.250 0.721 (multiplicity 4)
Hg: 0.110 0.250 0.307 (multiplicity 4)
Au: 0.236 0.750 0.045 (multiplicity 4)

## Properties
* DFT total energy: -2.489 eV per atom
* formation energy: -13.20 kcal/mol of atoms
* energy above the most stable polymorph in this dataset: 0.0000 eV/atom
* crystal system: orthorhombic